Density functional theory data (PBE-GGA) for a geometry-optimized Ac2GdY structure.

Results
Relative energy among the computed polymorphs: 0.000 eV/atom
Volume: 153 Å³/f.u.
Space-group type: P4/mmm (123)
Energy of formation from the pure elements: 0.0347 eV/atom

Lattice parameters (Å, degrees): 5.4463 5.4463 5.1443 90.00 90.00 90.00
Fractional positions:
Ac 0.0000 0.5000 0.0000
Ac 0.5000 0.0000 0.0000
Gd 0.0000 0.0000 0.5000
Y 0.5000 0.5000 0.5000

---

Density functional theory data (PBE-GGA) for a geometry-optimized KCd2Bi2 structure.

Results
Relative energy among the computed polymorphs: 0.000 eV/atom
Volume: 169 Å³/f.u.
Space-group type: P4/nmm (129)
Energy of formation from the pure elements: -0.2076 eV/atom

Lattice parameters (Å, degrees): 5.2656 5.2656 12.2110 90.00 90.00 90.00
Fractional positions:
K 0.2500 0.2500 0.2492
K 0.7500 0.7500 0.7508
Cd 0.2500 0.2500 0.8686
Cd 0.2500 0.7500 0.5000
Cd 0.7500 0.2500 0.5000
Cd 0.7500 0.7500 0.1314
Bi 0.2500 0.2500 0.6286
Bi 0.2500 0.7500 0.0000
Bi 0.7500 0.2500 0.0000
Bi 0.7500 0.7500 0.3714

---

Density functional theory data (PBE-GGA) for a geometry-optimized MgMnGaRu2 structure.

Results
Volume: 91 Å³/f.u.
Space-group type: P4/mmm (123)
Energy of formation from the pure elements: 1.1139 eV/atom

Lattice parameters (Å, degrees): 4.5697 4.5697 4.3676 90.00 90.00 90.00
Fractional positions:
Mg 0.0000 0.0000 0.0000
Mn 0.5000 0.5000 0.0000
Ga 0.5000 0.5000 0.5000
Ru 0.0000 0.5000 0.5000
Ru 0.5000 0.0000 0.5000

---

Density functional theory data (PBE-GGA) for a geometry-optimized CuTcMo2 structure.

Results
Relative energy among the computed polymorphs: 0.054 eV/atom
Volume: 59 Å³/f.u.
Space-group type: Pmmm (47)
Energy of formation from the pure elements: 0.1982 eV/atom

Lattice parameters (Å, degrees): 2.7801 3.9432 5.3789 90.00 90.00 90.00
Fractional positions:
Cu 0.0000 0.0000 0.0000
Tc 0.0000 0.0000 0.5000
Mo 0.5000 0.5000 0.2559
Mo 0.5000 0.5000 0.7441

---

Density functional theory data (PBE-GGA) for a geometry-optimized DyHoSc structure.

Results
Relative energy among the computed polymorphs: 0.023 eV/atom
Volume: 87 Å³/f.u.
Space-group type: I4mm (107)
Energy of formation from the pure elements: 0.0443 eV/atom

Lattice parameters (Å, degrees): 7.6358 7.6358 7.6358 153.80 153.80 37.38
Fractional positions:
Dy 0.0000 0.0000 0.0000
Ho 0.6763 0.6763 0.0000
Sc 0.3379 0.3379 0.0000

---

Density functional theory data (PBE-GGA) for a geometry-optimized ZnOsBr3 structure.

Results
Relative energy among the computed polymorphs: 0.000 eV/atom
Volume: 133 Å³/f.u.
Space-group type: Pm-3m (221)
Formation energy without anion corrections: 0.498 eV/atom

Lattice parameters (Å, degrees): 5.1108 5.1108 5.1108 90.00 90.00 90.00
Fractional positions:
Zn 0.0000 0.0000 0.0000
Os 0.5000 0.5000 0.5000
Br 0.0000 0.5000 0.5000
Br 0.5000 0.0000 0.5000
Br 0.5000 0.5000 0.0000

---

Density functional theory data (PBE-GGA) for a geometry-optimized ReRh2Br structure.

Results
Relative energy among the computed polymorphs: 0.411 eV/atom
Volume: 63 Å³/f.u.
Space-group type: C2/m (12)
Formation energy without anion corrections: 0.717 eV/atom

Lattice parameters (Å, degrees): 4.8341 4.8341 4.7040 94.90 94.90 35.27
Fractional positions:
Re 0.0000 0.0000 0.0000
Rh 0.2693 0.2693 0.7714
Rh 0.7307 0.7307 0.2286
Br 0.5000 0.5000 0.5000

---

Density functional theory data (PBE-GGA) for a geometry-optimized NaBeCdAu2 structure.

Results
Volume: 100 Å³/f.u.
Space-group type: P4/mmm (123)
Energy of formation from the pure elements: -0.0803 eV/atom

Lattice parameters (Å, degrees): 4.5997 4.5997 4.7085 90.00 90.00 90.00
Fractional positions:
Na 0.0000 0.0000 0.0000
Be 0.5000 0.5000 0.5000
Cd 0.5000 0.5000 0.0000
Au 0.0000 0.5000 0.5000
Au 0.5000 0.0000 0.5000

---

Density functional theory data (PBE-GGA) for a geometry-optimized BaIn9Ag2 structure.

Results
Relative energy among the computed polymorphs: 0.047 eV/atom
Volume: 337 Å³/f.u.
Space-group type: P6/mmm (191)
Energy of formation from the pure elements: -0.0780 eV/atom

Lattice parameters (Å, degrees): 9.4685 9.4685 4.3460 90.00 90.00 120.00
Fractional positions:
Ba 0.0000 0.0000 0.0000
In 0.0000 0.5000 0.0000
In 0.2005 0.4010 0.5000
In 0.2005 0.7995 0.5000
In 0.4010 0.2005 0.5000
In 0.5000 0.0000 0.0000
In 0.5000 0.5000 0.0000
In 0.5990 0.7995 0.5000
In 0.7995 0.2005 0.5000
In 0.7995 0.5990 0.5000
Ag 0.3333 0.6667 0.0000
Ag 0.6667 0.3333 0.0000

---

Density functional theory data (PBE-GGA) for a geometry-optimized Na3NbAl structure.

Results
Relative energy among the computed polymorphs: 0.164 eV/atom
Volume: 201 Å³/f.u.
Space-group type: Pm-3m (221)
Energy of formation from the pure elements: 1.4460 eV/atom

Lattice parameters (Å, degrees): 5.8577 5.8577 5.8577 90.00 90.00 90.00
Fractional positions:
Na 0.0000 0.0000 0.5000
Na 0.0000 0.5000 0.0000
Na 0.5000 0.0000 0.0000
Nb 0.0000 0.0000 0.0000
Al 0.5000 0.5000 0.5000

---

Density functional theory data (PBE-GGA) for a geometry-optimized ScPb4Au structure.

Results
Volume: 177 Å³/f.u.
Space-group type: F-43m (216)
Energy of formation from the pure elements: 0.2619 eV/atom

Lattice parameters (Å, degrees): 6.3079 6.3079 6.3079 60.00 60.00 60.00
Fractional positions:
Sc 0.0000 0.0000 0.0000
Pb 0.3745 0.3745 0.3745
Pb 0.3745 0.3745 0.8766
Pb 0.3745 0.8766 0.3745
Pb 0.8766 0.3745 0.3745
Au 0.7500 0.7500 0.7500

---

Density functional theory data (PBE-GGA) for a geometry-optimized LiTiCu2S4 structure.

Results
Volume: 156 Å³/f.u.
Space-group type: I-42m (121)
Formation energy without anion corrections: -0.785 eV/atom

Lattice parameters (Å, degrees): 6.5822 6.5822 6.5822 131.71 131.71 70.69
Fractional positions:
Li 0.0000 0.0000 0.0000
Ti 0.5000 0.5000 0.0000
Cu 0.2500 0.7500 0.5000
Cu 0.7500 0.2500 0.5000
S 0.1318 0.6094 0.0000
S 0.3906 0.3906 0.5225
S 0.6094 0.1318 0.0000
S 0.8682 0.8682 0.4775